The following is a DFT calculation (PBEsol) of a geometry-optimized Li2VO3F structure.

Calculated values
Formation energy (no corrections)   -2432 meV per atom
Symmetry   No. 1
Total magnetization   0.0 μB per cell
Electronic total energy   -6.8956 eV per atom
D(E_F)   0.000 states/eV/atom

abc: 6.9826 7.0154 7.0188
angles: 108.45 109.30 109.95
Last column: nearest neighbours and their distance in Å.
Fractional positions:
Li 0.0000 0.0000 0.0000  1 F 1.93, 4 O 2.05-2.13
Li 0.0008 0.7605 0.2281  1 F 1.93, 4 O 2.00-2.16
Li 0.4786 0.2863 0.2583  6 O 2.00-2.22
Li 0.4830 0.0274 0.5219  2 F 1.98-2.18, 4 O 2.04-2.14
Li 0.4889 0.5531 0.0335  3 O 2.00-2.13, 2 F 2.01-2.06
Li 0.5040 0.8043 0.7905  6 O 2.02-2.17
Li 0.7256 0.2978 0.9907  2 F 1.87-1.93, 2 O 2.03-2.05
Li 0.7294 0.7782 0.5248  2 F 1.95-1.98, 3 O 2.04-2.10
V 0.0012 0.2578 0.7848  3 O 1.68-1.78
V 0.0031 0.5677 0.5183  2 O 1.66-1.73
V 0.2693 0.3128 0.5175  2 O 1.65-1.71
V 0.7262 0.0475 0.2511  2 O 1.66-1.74
O 0.2151 0.5108 0.7441  3 V 1.99-2.06, 2 Li 2.13-2.17
O 0.2260 0.2906 0.0033  1 V 1.68
O 0.2264 0.7677 0.5311  1 V 1.66
O 0.2419 0.0760 0.3149  1 V 1.71
O 0.4721 0.5306 0.5275  1 V 1.65
O 0.5286 0.0600 0.0506  1 V 1.66
O 0.7574 0.8336 0.0782  1 V 1.74
O 0.7590 0.2722 0.5111  1 V 1.88
O 0.7609 0.0545 0.7734  1 V 1.75
O 0.7698 0.5372 0.2979  1 V 1.73
O 0.9968 0.0697 0.5416  1 V 1.78
O 0.9992 0.2999 0.3068  3 V 1.92-1.98
F 0.4784 0.3048 0.7702  1 V 1.92, 2 Li 1.93-2.06
F 0.5209 0.8143 0.2922  1 V 1.95, 3 Li 1.95-2.01
F 0.9723 0.7566 0.7486  1 V 1.87, 2 Li 1.93-1.98
F 0.9751 0.5072 0.9868  2 Li 1.87-1.93, 1 V 1.98